# 1
Material: Dy6GeAs2Se3
Method: DFT, PBE
State: optimized geometry

Unit cell a=9.2096 b=9.2096 c=8.2287 alpha=103.05 beta=103.05 gamma=25.82
Element x y z (fractional)
Dy 0.0019 0.0019 0.2408
Dy 0.3310 0.3310 0.4234
Dy 0.3376 0.3376 0.9124
Dy 0.6624 0.6624 0.0876
Dy 0.6690 0.6690 0.5766
Dy 0.9981 0.9981 0.7592
Ge 0.5000 0.5000 0.0000
As 0.1672 0.1672 0.3340
As 0.8328 0.8328 0.6660
Se 0.1679 0.1679 0.8325
Se 0.5000 0.5000 0.5000
Se 0.8321 0.8321 0.1675

Values from the calculation:
Raw formation energy in eV per atom: -1.62
DOS(E_F) in states/eV per cell: 3.581
Spin magnetization in Bohr magnetons per cell: 0.00

=====

# 2
Material: Dy6Ge3AsSe2
Method: DFT, PBE
State: optimized geometry

Unit cell a=9.2882 b=9.2882 c=8.3396 alpha=104.49 beta=104.49 gamma=25.42
Element x y z (fractional)
Dy 0.0014 0.0014 0.2529
Dy 0.3337 0.3337 0.4223
Dy 0.3350 0.3350 0.9113
Dy 0.6650 0.6650 0.0887
Dy 0.6663 0.6663 0.5777
Dy 0.9986 0.9986 0.7471
Ge 0.1680 0.1680 0.3332
Ge 0.5000 0.5000 0.0000
Ge 0.8320 0.8320 0.6668
As 0.5000 0.5000 0.5000
Se 0.1671 0.1671 0.8346
Se 0.8329 0.8329 0.1654

Values from the calculation:
Raw formation energy in eV per atom: -1.30
DOS(E_F) in states/eV per cell: 5.887
Spin magnetization in Bohr magnetons per cell: 0.00

=====

# 3
Material: Dy6Ge2As3Se
Method: DFT, PBE
State: optimized geometry

Unit cell a=9.2407 b=9.2407 c=8.3262 alpha=103.04 beta=103.04 gamma=25.48
Element x y z (fractional)
Dy 0.0010 0.0010 0.2568
Dy 0.3319 0.3319 0.9176
Dy 0.3337 0.3337 0.4137
Dy 0.6663 0.6663 0.5863
Dy 0.6681 0.6681 0.0824
Dy 0.9990 0.9990 0.7432
Ge 0.1662 0.1662 0.3324
Ge 0.8338 0.8338 0.6676
As 0.1643 0.1643 0.8344
As 0.5000 0.5000 0.5000
As 0.8357 0.8357 0.1656
Se 0.5000 0.5000 0.0000

Values from the calculation:
Raw formation energy in eV per atom: -1.34
DOS(E_F) in states/eV per cell: 3.712
Spin magnetization in Bohr magnetons per cell: 0.00